# 1
! TmIn4AgSe8 PBE-GGA relaxed; values from VASP
! - Formation energy (no corrections): -0.6964 eV per atom
! - Density of states at the Fermi level: 6.95 states/eV per cell
&SYSTEM
  ibrav = 0, nat = 14, ntyp = 4
/
ATOMIC_SPECIES
Tm 168.93 Tm.upf
In 114.82 In.upf
Ag 107.87 Ag.upf
Se 78.96 Se.upf
ATOMIC_POSITIONS crystal
Tm 0.0000 0.0000 0.0000
In 0.4733 0.9984 0.9984
In 0.6169 0.6169 0.6169
In 0.9984 0.4733 0.9984
In 0.9984 0.9984 0.4733
Ag 0.3659 0.3659 0.3659
Se 0.2167 0.7511 0.7511
Se 0.2347 0.2347 0.2347
Se 0.2401 0.2401 0.7592
Se 0.2401 0.7592 0.2401
Se 0.7511 0.2167 0.7511
Se 0.7511 0.7511 0.2167
Se 0.7534 0.7534 0.7534
Se 0.7592 0.2401 0.2401
CELL_PARAMETERS angstrom
4.0978 2.3659 6.6762
-4.0978 2.3659 6.6762
0.0000 -4.7317 6.6762



# 2
! InAgW2Se PBE-GGA relaxed; values from VASP
! - Formation energy (no corrections): 2.6275 eV per atom
! - Density of states at the Fermi level: 6.88 states/eV per cell
&SYSTEM
  ibrav = 0, nat = 5, ntyp = 4
/
ATOMIC_SPECIES
In 114.82 In.upf
Ag 107.87 Ag.upf
W 183.84 W.upf
Se 78.96 Se.upf
ATOMIC_POSITIONS crystal
In 0.0000 0.0000 0.0000
Ag 0.5000 0.5000 0.5000
W 0.0000 0.5000 0.0000
W 0.5000 0.0000 0.0000
Se 0.0000 0.0000 0.5000
CELL_PARAMETERS angstrom
5.0336 0.0000 0.0000
0.0000 5.0336 0.0000
0.0000 0.0000 5.1010



# 3
! ZnInAg2Se PBE-GGA relaxed; values from VASP
! - Formation energy (no corrections): 0.3471 eV per atom
! - Density of states at the Fermi level: 2.70 states/eV per cell
! - Energy relative to the lowest polymorph listed for this composition: 0.000 eV/atom
&SYSTEM
  ibrav = 0, nat = 5, ntyp = 4
/
ATOMIC_SPECIES
Zn 65.41 Zn.upf
In 114.82 In.upf
Ag 107.87 Ag.upf
Se 78.96 Se.upf
ATOMIC_POSITIONS crystal
Zn 0.0000 0.0000 0.0000
In 0.5000 0.5000 0.0000
Ag 0.0000 0.5000 0.5000
Ag 0.5000 0.0000 0.5000
Se 0.5000 0.5000 0.5000
CELL_PARAMETERS angstrom
4.9460 0.0000 0.0000
0.0000 4.9460 0.0000
0.0000 0.0000 6.3806



# 4
! ZnInAg2Se PBE-GGA relaxed; values from VASP
! - Formation energy (no corrections): 0.6426 eV per atom
! - Density of states at the Fermi level: 4.14 states/eV per cell
! - Energy relative to the lowest polymorph listed for this composition: 0.296 eV/atom
&SYSTEM
  ibrav = 0, nat = 5, ntyp = 4
/
ATOMIC_SPECIES
Zn 65.41 Zn.upf
In 114.82 In.upf
Ag 107.87 Ag.upf
Se 78.96 Se.upf
ATOMIC_POSITIONS crystal
Zn 0.0000 0.0000 0.0000
In 0.0000 0.0000 0.5000
Ag 0.0000 0.5000 0.5000
Ag 0.5000 0.0000 0.5000
Se 0.5000 0.5000 0.0000
CELL_PARAMETERS angstrom
5.2530 0.0000 0.0000
0.0000 5.2530 0.0000
0.0000 0.0000 4.9720



# 5
! InSi2Ag PBE-GGA relaxed; values from VASP
! - Formation energy (no corrections): 0.4339 eV per atom
! - Density of states at the Fermi level: 1.34 states/eV per cell
&SYSTEM
  ibrav = 0, nat = 4, ntyp = 3
/
ATOMIC_SPECIES
In 114.82 In.upf
Si 28.09 Si.upf
Ag 107.87 Ag.upf
ATOMIC_POSITIONS crystal
In 0.0000 0.0000 0.0000
Si 0.0000 0.5000 0.0000
Si 0.5000 0.0000 0.0000
Ag 0.5000 0.5000 0.0000
CELL_PARAMETERS angstrom
2.8052 -5.2643 0.0000
2.8052 5.2643 0.0000
-1.6446 0.0000 2.5806



# 6
! In2SiAg PBE-GGA relaxed; values from VASP
! - Formation energy (no corrections): 0.2573 eV per atom
! - Density of states at the Fermi level: 0.89 states/eV per cell
&SYSTEM
  ibrav = 0, nat = 4, ntyp = 3
/
ATOMIC_SPECIES
In 114.82 In.upf
Si 28.09 Si.upf
Ag 107.87 Ag.upf
ATOMIC_POSITIONS crystal
In 0.0000 0.5000 0.0000
In 0.5000 0.0000 0.0000
Si 0.0000 0.0000 0.5000
Ag 0.5000 0.5000 0.5000
CELL_PARAMETERS angstrom
3.2224 -4.0042 0.0000
3.2224 4.0042 0.0000
-0.1673 0.0000 3.3075



# 7
! In2SiAg PBE-GGA relaxed; values from VASP
! - Formation energy (no corrections): 0.3210 eV per atom
! - Density of states at the Fermi level: 4.69 states/eV per cell
&SYSTEM
  ibrav = 0, nat = 8, ntyp = 3
/
ATOMIC_SPECIES
In 114.82 In.upf
Si 28.09 Si.upf
Ag 107.87 Ag.upf
ATOMIC_POSITIONS crystal
In 0.0975 0.6250 0.9725
In 0.3750 0.3475 0.4725
In 0.6525 0.1250 0.0275
In 0.8750 0.9025 0.5275
Si 0.0000 0.0000 0.0000
Si 0.7500 0.2500 0.5000
Ag 0.2500 0.7500 0.5000
Ag 0.5000 0.5000 0.0000
CELL_PARAMETERS angstrom
-3.9386 3.9386 2.9394
3.9386 -3.9386 2.9394
3.9386 3.9386 -2.9394



# 8
! InSi2Ag PBE-GGA relaxed; values from VASP
! - Formation energy (no corrections): 0.4772 eV per atom
! - Density of states at the Fermi level: 1.65 states/eV per cell
&SYSTEM
  ibrav = 0, nat = 4, ntyp = 3
/
ATOMIC_SPECIES
In 114.82 In.upf
Si 28.09 Si.upf
Ag 107.87 Ag.upf
ATOMIC_POSITIONS crystal
In 0.0000 0.0000 0.0000
Si 0.5000 0.5000 0.2742
Si 0.5000 0.5000 0.7258
Ag 0.0000 0.0000 0.5000
CELL_PARAMETERS angstrom
1.5664 -2.4616 0.0000
1.5664 2.4616 0.0000
0.0000 0.0000 9.9934



# 9
! In2SiAg PBE-GGA relaxed; values from VASP
! - Formation energy (no corrections): 0.2842 eV per atom
! - Density of states at the Fermi level: 1.51 states/eV per cell
&SYSTEM
  ibrav = 0, nat = 4, ntyp = 3
/
ATOMIC_SPECIES
In 114.82 In.upf
Si 28.09 Si.upf
Ag 107.87 Ag.upf
ATOMIC_POSITIONS crystal
In 0.0000 0.5000 0.0000
In 0.5000 0.0000 0.0000
Si 0.0000 0.0000 0.5000
Ag 0.5000 0.5000 0.5000
CELL_PARAMETERS angstrom
4.5381 0.0000 0.0000
0.0000 4.5381 0.0000
0.0000 0.0000 4.1671



# 10
! In2SiAg PBE-GGA relaxed; values from VASP
! - Formation energy (no corrections): 0.3704 eV per atom
! - Density of states at the Fermi level: 3.42 states/eV per cell
&SYSTEM
  ibrav = 0, nat = 4, ntyp = 3
/
ATOMIC_SPECIES
In 114.82 In.upf
Si 28.09 Si.upf
Ag 107.87 Ag.upf
ATOMIC_POSITIONS crystal
In 0.0000 0.0000 0.0000
In 0.2500 0.2500 0.2500
Si 0.5000 0.5000 0.5000
Ag 0.7500 0.7500 0.7500
CELL_PARAMETERS angstrom
0.0000 3.5366 3.5366
3.5366 0.0000 3.5366
3.5366 3.5366 0.0000



# 11
! InSi2Ag PBE-GGA relaxed; values from VASP
! - Formation energy (no corrections): 0.4652 eV per atom
! - Density of states at the Fermi level: 1.92 states/eV per cell
&SYSTEM
  ibrav = 0, nat = 4, ntyp = 3
/
ATOMIC_SPECIES
In 114.82 In.upf
Si 28.09 Si.upf
Ag 107.87 Ag.upf
ATOMIC_POSITIONS crystal
In 0.0000 0.0000 0.0000
Si 0.0000 0.5000 0.5000
Si 0.5000 0.0000 0.5000
Ag 0.5000 0.5000 0.0000
CELL_PARAMETERS angstrom
4.2304 0.0000 0.0000
0.0000 4.2304 0.0000
0.0000 0.0000 4.2421



# 12
! InSi2Ag PBE-GGA relaxed; values from VASP
! - Formation energy (no corrections): 0.3082 eV per atom
! - Density of states at the Fermi level: 1.27 states/eV per cell
&SYSTEM
  ibrav = 0, nat = 4, ntyp = 3
/
ATOMIC_SPECIES
In 114.82 In.upf
Si 28.09 Si.upf
Ag 107.87 Ag.upf
ATOMIC_POSITIONS crystal
In 0.0000 0.0000 0.0000
Si 0.0016 0.5000 0.7051
Si 0.0033 0.0000 0.4966
Ag 0.5035 0.5000 0.2723
CELL_PARAMETERS angstrom
2.7955 0.0000 0.0000
0.0000 3.5948 0.0000
-0.0324 0.0000 7.7506



# 13
! In3SiAg PBE-GGA relaxed; values from VASP
! - Formation energy (no corrections): 0.4989 eV per atom
! - Density of states at the Fermi level: 6.44 states/eV per cell
! - Energy relative to the lowest polymorph listed for this composition: 0.000 eV/atom
&SYSTEM
  ibrav = 0, nat = 5, ntyp = 3
/
ATOMIC_SPECIES
In 114.82 In.upf
Si 28.09 Si.upf
Ag 107.87 Ag.upf
ATOMIC_POSITIONS crystal
In 0.0000 0.0000 0.5000
In 0.0000 0.5000 0.0000
In 0.5000 0.0000 0.0000
Si 0.0000 0.0000 0.0000
Ag 0.5000 0.5000 0.5000
CELL_PARAMETERS angstrom
5.2296 0.0000 0.0000
0.0000 5.2296 0.0000
0.0000 0.0000 5.2296



# 14
! InSi2Ag PBE-GGA relaxed; values from VASP
! - Formation energy (no corrections): 0.3895 eV per atom
! - Density of states at the Fermi level: 1.26 states/eV per cell
&SYSTEM
  ibrav = 0, nat = 4, ntyp = 3
/
ATOMIC_SPECIES
In 114.82 In.upf
Si 28.09 Si.upf
Ag 107.87 Ag.upf
ATOMIC_POSITIONS crystal
In 0.0000 0.0000 0.0000
Si 0.2740 0.7740 0.5000
Si 0.4631 0.4631 0.0000
Ag 0.7168 0.2168 0.5000
CELL_PARAMETERS angstrom
-1.8240 2.5633 4.1391
1.8240 -2.5633 4.1391
1.8240 2.5633 -4.1391